# 1
The following is a DFT calculation (PBE) of crystalline DyMnCoGe3 at its relaxed geometry.

abc: 5.6149 7.3722 6.4682
angles: 124.74 90.00 90.00
Closest atoms and distances in Å follow each position.
Fractional positions:
Ge (0.5000, 0.7498, 0.0000)  2 Co 2.34, 2 Mn 2.38
Ge (0.0000, 0.2502, 0.0000)  2 Co 2.34, 2 Mn 2.38
Ge (0.0000, 0.7498, 0.0000)  2 Co 2.34, 2 Mn 2.38
Ge (0.5000, 0.2502, 0.0000)  2 Co 2.34, 2 Mn 2.38
Ge (0.2500, 0.2583, 0.5165)  1 Co 2.21, 1 Mn 2.22
Ge (0.7500, 0.7417, 0.4835)  1 Co 2.21, 1 Mn 2.22
Co (0.2500, 0.4665, 0.9330)  5 Ge 2.21-2.34
Co (0.7500, 0.5335, 0.0670)  5 Ge 2.21-2.34
Dy (0.7500, 0.2535, 0.5071)  2 Ge 2.81, 1 Co 2.98
Dy (0.2500, 0.7465, 0.4929)  2 Ge 2.81, 1 Co 2.98
Mn (0.2500, 0.0492, 0.0983)  5 Ge 2.22-2.38
Mn (0.7500, 0.9508, 0.9017)  5 Ge 2.22-2.38



# 2
The following is a DFT calculation (PBE) of crystalline Li6ScZn6 at its relaxed geometry.

abc: 5.0816 6.8904 6.8904
angles: 82.43 68.36 68.36
Closest atoms and distances in Å follow each position.
Fractional positions:
Li (0.0000, 0.3419, 0.6581)  6 Zn 2.72-2.83, 3 Li 2.87-3.04
Li (0.3545, 0.6455, 0.6455)  3 Li 2.63-2.88, 4 Zn 2.77
Li (0.7037, 0.7963, 0.7963)  6 Zn 2.61-2.63, 2 Li 2.88
Li (0.0000, 0.6581, 0.3419)  6 Zn 2.72-2.83, 3 Li 2.87-3.04
Li (0.6455, 0.3545, 0.3545)  3 Li 2.63-2.88, 4 Zn 2.77
Li (0.2963, 0.2037, 0.2037)  6 Zn 2.61-2.63, 2 Li 2.88
Zn (0.0000, 0.0000, 0.5000)  4 Zn 2.54-2.62, 6 Li 2.63-2.77
Zn (0.0000, 0.5000, 0.0000)  4 Zn 2.54-2.62, 6 Li 2.63-2.77
Zn (0.5000, 0.5000, 0.0000)  4 Zn 2.54-2.62, 6 Li 2.63-2.77
Zn (0.5000, 0.0000, 0.5000)  4 Zn 2.54-2.62, 6 Li 2.63-2.77
Zn (0.5000, 0.7956, 0.2044)  4 Li 2.61-2.83, 4 Zn 2.62
Zn (0.5000, 0.2044, 0.7956)  4 Li 2.61-2.83, 4 Zn 2.62
Sc (0.0000, 0.0000, 0.0000)  8 Li 3.10-3.20, 12 Zn 3.15-3.45



Ordered ΔE_f results: -0.17; -0.16; unit eV per atom.